Record 1
The following is a DFT calculation (PBE) of MnAuS2Cl after structural relaxation.

Calculated values
formation energy from raw total energies = 533 meV per atom

a b c (Å): 4.887 4.887 4.849
angles (deg): 90.00 90.00 90.00
Space group P4/mmm (No. 123)
Inequivalent atoms, fractional coordinates:
Mn 0.000 0.000 0.000 x1
Au 0.500 0.500 0.500 x1
S 0.000 0.500 0.500 x2
Cl 0.500 0.500 0.000 x1



Record 2
The following is a DFT calculation (PBE) of MnAuS2Cl after structural relaxation.

Calculated values
formation energy from raw total energies = 341 meV per atom

a b c (Å): 4.324 4.324 5.041
angles (deg): 90.00 90.00 90.00
Space group P4/mmm (No. 123)
Inequivalent atoms, fractional coordinates:
Mn 0.000 0.000 0.000 x1
Au 0.500 0.500 0.500 x1
S 0.000 0.500 0.000 x2
Cl 0.000 0.000 0.500 x1



Record 3
The following is a DFT calculation (PBE) of MnTlAuCl6 after structural relaxation.

Calculated values
formation energy from raw total energies = -715 meV per atom

a b c (Å): 6.560 6.576 6.866
angles (deg): 93.94 94.17 110.57
Space group P1 (No. 1)
Inequivalent atoms, fractional coordinates:
Mn 0.000 0.000 0.000 x1
Tl 0.344 0.655 0.499 x1
Au 0.653 0.346 0.000 x1
Cl 0.002 0.734 0.780 x1
Cl 0.266 0.999 0.222 x1
Cl 0.315 0.307 0.810 x1
Cl 0.692 0.683 0.189 x1
Cl 0.715 0.047 0.798 x1
Cl 0.953 0.284 0.201 x1



Record 4
The following is a DFT calculation (PBE) of Mn2TlAuCl after structural relaxation.

Calculated values
formation energy from raw total energies = 587 meV per atom

a b c (Å): 4.409 4.409 5.751
angles (deg): 90.00 90.00 90.00
Space group P4/mmm (No. 123)
Inequivalent atoms, fractional coordinates:
Mn 0.000 0.500 0.000 x2
Tl 0.000 0.000 0.500 x1
Au 0.500 0.500 0.500 x1
Cl 0.000 0.000 0.000 x1



Record 5
The following is a DFT calculation (PBE) of Mo2AuCl after structural relaxation.

Calculated values
formation energy from raw total energies = 793 meV per atom

a b c (Å): 5.650 9.121 2.768
angles (deg): 90.00 108.64 90.00
Space group C2/m (No. 12)
Inequivalent atoms, fractional coordinates:
Mo 0.250 0.250 0.000 x4
Au 0.000 0.000 0.500 x2
Cl 0.000 0.500 0.500 x2



Record 6
The following is a DFT calculation (PBE) of MoAu2Cl after structural relaxation.

Calculated values
formation energy from raw total energies = 166 meV per atom

a b c (Å): 2.944 2.944 8.899
angles (deg): 90.00 90.00 90.00
Space group P4mm (No. 99)
Inequivalent atoms, fractional coordinates:
Mo 0.000 0.000 0.000 x1
Au 0.000 0.000 0.449 x1
Au 0.500 0.500 0.215 x1
Cl 0.500 0.500 0.826 x1